# 1
VASP calculation (PBE-GGA) on PIrCl2O after structural relaxation.

Cell: 4.372 4.372 4.082 Å, 90.00 90.00 90.00°
Last column: magnetic moment on the atom in μB.
Atoms (fractional coordinates):
O 0.000 0.000 0.000  0.00
Cl 0.000 0.500 0.000  0.06
Cl 0.500 0.000 0.000  0.06
P 0.000 0.000 0.500  -0.03
Ir 0.500 0.500 0.500  0.75

## Properties
Calculated density = 6.60 g/cm³
Energy above the lowest structure with this stoichiometry = 387 meV/atom
Symmetry = P4/mmm
ΔE_f (raw) = 1.255 eV per atom


# 2
VASP calculation (PBE-GGA) on CdBi4H2 after structural relaxation.

Cell: 4.573 5.028 8.322 Å, 91.06 90.00 90.00°
Atoms (fractional coordinates):
Bi 0.500 0.882 0.789
Bi 0.000 0.246 0.677
Bi 0.000 0.754 0.323
Bi 0.500 0.118 0.211
Cd 0.000 0.500 0.000
H 0.500 0.307 0.404
H 0.500 0.693 0.596

## Properties
Calculated density = 8.25 g/cm³
Symmetry = P2/m


# 3
VASP calculation (PBE-GGA) on Li2MnRe2 after structural relaxation.

Cell: 3.072 3.072 7.644 Å, 78.41 78.41 90.00°
Last column: magnetic moment on the atom in μB.
Atoms (fractional coordinates):
Li 0.250 0.750 0.500  0.00
Li 0.750 0.250 0.500  0.00
Re 0.412 0.412 0.177  -0.10
Re 0.588 0.588 0.823  -0.10
Mn 0.000 0.000 0.000  1.29

## Properties
Formation energy = 725 meV/atom
Calculated density = 10.60 g/cm³
Energy above the lowest structure with this stoichiometry = 28 meV/atom
Symmetry = I4/mmm


# 4
VASP calculation (PBE-GGA) on KIn6Ag6 after structural relaxation.

Cell: 5.838 7.643 7.643 Å, 81.03 67.55 67.55°
Atoms (fractional coordinates):
In 0.693 0.807 0.807
In 0.349 0.651 0.651
In 0.651 0.349 0.349
In 0.000 0.650 0.350
In 0.307 0.193 0.193
In 0.000 0.350 0.650
K 0.000 0.000 0.000
Ag 0.500 0.232 0.768
Ag 0.500 0.000 0.500
Ag 0.500 0.500 0.000
Ag 0.000 0.500 0.000
Ag 0.000 0.000 0.500
Ag 0.500 0.768 0.232

## Properties
Formation energy = -78 meV/atom
Calculated density = 7.84 g/cm³
Symmetry = Immm


# 5
VASP calculation (PBE-GGA) on PrEuNiRu after structural relaxation.

Cell: 4.963 4.963 4.963 Å, 60.00 60.00 60.00°
Last column: magnetic moment on the atom in μB.
Atoms (fractional coordinates):
Eu 0.000 0.000 0.000  6.70
Ru 0.750 0.750 0.750  -0.25
Ni 0.250 0.250 0.250  -0.13
Pr 0.500 0.500 0.500  0.03

## Properties
Formation energy = 26 meV/atom
Calculated density = 8.69 g/cm³
Symmetry = F-43m


# 6
VASP calculation (PBE-GGA) on Be2AuBr after structural relaxation.

Cell: 5.207 5.207 3.476 Å, 64.54 64.54 95.34°
Atoms (fractional coordinates):
Be 0.000 0.000 0.000
Be 0.500 0.500 0.000
Au 0.000 0.500 0.500
Br 0.500 0.000 0.500

## Properties
Calculated density = 6.78 g/cm³
Energy above the lowest structure with this stoichiometry = 627 meV/atom
Symmetry = C2/m
ΔE_f (raw) = 0.481 eV per atom


# 7
VASP calculation (PBE-GGA) on NaThTe after structural relaxation.

Cell: 5.203 5.203 9.341 Å, 73.83 73.83 60.00°
Atoms (fractional coordinates):
Te 0.589 0.589 0.233
Te 0.411 0.411 0.767
Na 0.865 0.865 0.405
Na 0.135 0.135 0.595
Th 0.708 0.708 0.875
Th 0.292 0.292 0.125

## Properties
Calculated density = 6.13 g/cm³
Symmetry = R-3m
ΔE_f (raw) = -0.353 eV per atom


# 8
VASP calculation (PBE-GGA) on MgPaCo2Ge2 after structural relaxation.

Cell: 4.133 4.133 6.650 Å, 90.00 90.00 120.00°
Atoms (fractional coordinates):
Co 0.333 0.667 0.735
Co 0.667 0.333 0.265
Ge 0.667 0.333 0.717
Ge 0.333 0.667 0.283
Mg 0.000 0.000 0.500
Pa 0.000 0.000 0.000

## Properties
Formation energy = -397 meV/atom
Calculated density = 8.75 g/cm³
Symmetry = P-3m1


# 9
VASP calculation (PBE-GGA) on U4Al6Os7 after structural relaxation.

Cell: 7.196 7.196 7.196 Å, 109.47 109.47 109.47°
Last column: magnetic moment on the atom in μB.
Atoms (fractional coordinates):
Al 0.695 0.695 0.000  0.00
Al 0.695 0.000 0.695  0.00
Al 0.305 0.305 0.000  0.00
Al 0.000 0.305 0.305  0.00
Al 0.000 0.695 0.695  0.00
Al 0.305 0.000 0.305  0.00
Os 0.250 0.750 0.500  -0.04
Os 0.500 0.250 0.750  -0.04
Os 0.250 0.500 0.750  -0.04
Os 0.500 0.750 0.250  -0.04
Os 0.750 0.500 0.250  -0.04
Os 0.000 0.000 0.000  -0.02
Os 0.750 0.250 0.500  -0.04
U 0.000 0.500 0.000  0.29
U 0.500 0.000 0.000  0.29
U 0.500 0.500 0.500  0.29
U 0.000 0.000 0.500  0.29

## Properties
Formation energy = -333 meV/atom
Calculated density = 14.16 g/cm³
Symmetry = Im-3m


# 10
VASP calculation (PBE-GGA) on NpSb2As after structural relaxation.

Cell: 4.855 4.432 4.432 Å, 90.00 90.00 90.00°
Last column: magnetic moment on the atom in μB.
Atoms (fractional coordinates):
Sb 0.000 0.500 0.000  0.05
Sb 0.000 0.000 0.500  0.05
As 0.500 0.000 0.000  0.06
Np 0.500 0.500 0.500  -3.72

## Properties
Calculated density = 9.67 g/cm³
Energy above the lowest structure with this stoichiometry = 0 meV/atom
Symmetry = P4/mmm
ΔE_f (raw) = -0.168 eV per atom


# 11
VASP calculation (PBE-GGA) on PrHo6Th3 after structural relaxation.

Cell: 3.514 12.995 14.350 Å, 100.06 90.00 90.00°
Atoms (fractional coordinates):
Ho 0.250 0.273 0.703
Ho 0.750 0.128 0.489
Ho 0.250 0.653 0.881
Ho 0.750 0.347 0.119
Ho 0.250 0.221 0.285
Ho 0.250 0.501 0.311
Ho 0.750 0.806 0.073
Ho 0.250 0.872 0.511
Ho 0.750 0.727 0.297
Ho 0.250 0.194 0.927
Ho 0.750 0.499 0.689
Ho 0.750 0.779 0.715
Th 0.250 0.925 0.904
Th 0.750 0.623 0.507
Th 0.250 0.377 0.493
Th 0.250 0.576 0.097
Th 0.750 0.424 0.903
Th 0.750 0.075 0.096
Pr 0.750 0.037 0.725
Pr 0.250 0.963 0.275

## Properties
Formation energy = 74 meV/atom
Calculated density = 9.40 g/cm³
Energy above the lowest structure with this stoichiometry = 0 meV/atom
Symmetry = P2_1/m


# 12
VASP calculation (PBE-GGA) on CdRe2Ag after structural relaxation.

Cell: 2.821 4.010 6.002 Å, 90.00 90.00 90.00°
Atoms (fractional coordinates):
Re 0.500 0.500 0.213
Re 0.000 0.000 0.041
Cd 0.500 0.500 0.741
Ag 0.000 0.000 0.504

## Properties
Formation energy = 449 meV/atom
Calculated density = 14.49 g/cm³
Symmetry = Pmm2


# 13
VASP calculation (PBE-GGA) on LiMnTcRu after structural relaxation.

Cell: 4.234 4.234 4.234 Å, 60.00 60.00 60.00°
Last column: magnetic moment on the atom in μB.
Atoms (fractional coordinates):
Li 0.000 0.000 0.000  -0.01
Ru 0.250 0.250 0.250  0.03
Mn 0.750 0.750 0.750  3.08
Tc 0.500 0.500 0.500  -0.34

## Properties
Formation energy = 191 meV/atom
Calculated density = 8.07 g/cm³
Symmetry = F-43m


# 14
VASP calculation (PBE-GGA) on ThAgBiAu after structural relaxation.

Cell: 5.190 5.190 5.190 Å, 60.00 60.00 60.00°
Atoms (fractional coordinates):
Bi 0.000 0.000 0.000
Th 0.500 0.500 0.500
Ag 0.750 0.750 0.750
Au 0.250 0.250 0.250

## Properties
Formation energy = -337 meV/atom
Calculated density = 12.53 g/cm³
Symmetry = F-43m


# 15
VASP calculation (PBE-GGA) on La2Pm5Tl after structural relaxation.

Cell: 3.631 9.596 9.406 Å, 120.67 101.13 90.00°
Atoms (fractional coordinates):
La 0.778 0.278 0.556
La 0.222 0.722 0.444
Tl 0.000 0.000 0.000
Pm 0.613 0.886 0.227
Pm 0.613 0.341 0.227
Pm 0.387 0.114 0.773
Pm 0.000 0.500 0.000
Pm 0.387 0.659 0.773

## Properties
Formation energy = 14 meV/atom
Calculated density = 7.30 g/cm³
Energy above the lowest structure with this stoichiometry = 73 meV/atom
Symmetry = Immm


# 16
VASP calculation (PBE-GGA) on LiTbLu2 after structural relaxation.

Cell: 5.402 5.402 5.402 Å, 60.00 60.00 60.00°
Atoms (fractional coordinates):
Lu 0.750 0.750 0.750
Lu 0.250 0.250 0.250
Li 0.500 0.500 0.500
Tb 0.000 0.000 0.000

## Properties
Formation energy = 202 meV/atom
Calculated density = 7.68 g/cm³
Energy above the lowest structure with this stoichiometry = 120 meV/atom
Symmetry = Fm-3m


# 17
VASP calculation (PBE-GGA) on Li2SiSb after structural relaxation.

Cell: 5.137 5.137 4.105 Å, 66.49 66.49 47.07°
Atoms (fractional coordinates):
Si 0.250 0.250 0.250
Li 0.500 0.500 0.500
Li 0.000 0.000 0.000
Sb 0.750 0.750 0.750

## Properties
Calculated density = 3.81 g/cm³
Energy above the lowest structure with this stoichiometry = 0 meV/atom
Symmetry = I4/mmm
ΔE_f (raw) = -0.220 eV per atom


# 18
VASP calculation (PBE-GGA) on RbAlSn after structural relaxation.

Cell: 8.485 8.485 7.824 Å, 90.00 90.00 90.00°
Atoms (fractional coordinates):
Sn 0.312 0.500 0.250
Sn 0.688 0.500 0.750
Sn 0.500 0.688 0.000
Sn 0.500 0.312 0.500
Al 0.622 0.622 0.375
Al 0.622 0.378 0.125
Al 0.378 0.378 0.875
Al 0.378 0.622 0.625
Rb 0.353 0.000 0.250
Rb 0.000 0.353 0.500
Rb 0.000 0.647 0.000
Rb 0.647 0.000 0.750

## Properties
Formation energy = 79 meV/atom
Calculated density = 2.73 g/cm³
Symmetry = P4_122


# 19
VASP calculation (PBE-GGA) on HfGaAg2 after structural relaxation.

Cell: 2.940 2.940 10.571 Å, 82.01 82.01 60.00°
Atoms (fractional coordinates):
Ag 0.910 0.910 0.270
Ag 0.090 0.090 0.730
Hf 0.000 0.000 0.000
Ga 0.500 0.500 0.500

## Properties
Formation energy = 231 meV/atom
Calculated density = 9.86 g/cm³
Symmetry = R-3m


# 20
VASP calculation (PBE-GGA) on TaSbI2F after structural relaxation.

Cell: 5.608 5.608 4.223 Å, 90.00 90.00 90.00°
Last column: magnetic moment on the atom in μB.
Atoms (fractional coordinates):
I 0.500 0.000 0.000  -0.01
I 0.000 0.500 0.000  -0.01
F 0.000 0.000 0.000  0.00
Ta 0.500 0.500 0.500  1.94
Sb 0.000 0.000 0.500  -0.08

## Properties
Calculated density = 7.19 g/cm³
Energy above the lowest structure with this stoichiometry = 525 meV/atom
Symmetry = P4/mmm
ΔE_f (raw) = 0.559 eV per atom


Number 1: density of states at the Fermi level 4.07 states/eV per cell, E_tot -3.329 eV per atom. Number 2: density of states at the Fermi level 0.68 states/eV per cell, E_tot -3.097 eV per atom. Number 3: density of states at the Fermi level 3.66 states/eV per cell, E_tot -6.853 eV per atom. Number 4: density of states at the Fermi level 3.40 states/eV per cell, E_tot -2.742 eV per atom. Number 5: density of states at the Fermi level 10.30 states/eV per cell, E_tot -7.502 eV per atom. Number 6: density of states at the Fermi level 0.85 states/eV per cell, E_tot -2.620 eV per atom. Number 7: density of states at the Fermi level 6.79 states/eV per cell, E_tot -4.313 eV per atom. Number 8: density of states at the Fermi level 6.23 states/eV per cell, E_tot -6.153 eV per atom. Number 9: density of states at the Fermi level 17.73 states/eV per cell, E_tot -8.934 eV per atom. Number 10: density of states at the Fermi level 11.11 states/eV per cell, E_tot -6.627 eV per atom. Number 11: density of states at the Fermi level 30.89 states/eV per cell, E_tot -5.376 eV per atom. Number 12: density of states at the Fermi level 2.69 states/eV per cell, E_tot -6.717 eV per atom. Number 13: density of states at the Fermi level 4.45 states/eV per cell, E_tot -7.490 eV per atom. Number 14: density of states at the Fermi level 2.28 states/eV per cell, E_tot -4.695 eV per atom. Number 15: density of states at the Fermi level 9.50 states/eV per cell, E_tot -4.483 eV per atom. Number 16: density of states at the Fermi level 3.30 states/eV per cell, E_tot -3.695 eV per atom. Number 17: density of states at the Fermi level 1.89 states/eV per cell, E_tot -3.564 eV per atom. Number 18: density of states at the Fermi level 5.26 states/eV per cell, E_tot -2.826 eV per atom. Number 19: density of states at the Fermi level 1.86 states/eV per cell, E_tot -4.439 eV per atom. Number 20: density of states at the Fermi level 4.21 states/eV per cell, E_tot -3.630 eV per atom.